# 1
Sm4Ni13C4: optimized geometry, PBE.

a b c (Å): 8.4443 8.4443 3.9082
angles (deg): 90.00 90.00 91.07
Closest atoms and distances in Å follow each position.
Atoms (fractional coordinates):
1 Sm 0.1898 0.8102 0.0000  8 Ni 2.70-3.01
2 Sm 0.3471 0.3471 0.0000  5 Ni 2.67-2.93, 4 C 2.75
3 Sm 0.6529 0.6529 0.0000  5 Ni 2.67-2.93, 4 C 2.75
4 Sm 0.8102 0.1898 0.0000  8 Ni 2.70-3.01
5 Ni 0.0000 0.0000 0.5000  8 Ni 2.43-2.52
6 Ni 0.0000 0.5000 0.0000  2 C 1.95
7 Ni 0.0723 0.2905 0.5000  1 C 1.88
8 Ni 0.1217 0.1217 0.0000  6 Ni 2.43-2.46, 3 Sm 2.67-2.70
9 Ni 0.2158 0.5674 0.5000  2 C 1.90-1.93
10 Ni 0.2905 0.0723 0.5000  1 C 1.88
11 Ni 0.4326 0.7842 0.5000  2 C 1.90-1.93
12 Ni 0.5000 0.0000 0.0000  2 C 1.95
13 Ni 0.5674 0.2158 0.5000  2 C 1.90-1.93
14 Ni 0.7095 0.9277 0.5000  1 C 1.88
15 Ni 0.7842 0.4326 0.5000  2 C 1.90-1.93
16 Ni 0.8783 0.8783 0.0000  6 Ni 2.43-2.46, 3 Sm 2.67-2.70
17 Ni 0.9277 0.7095 0.5000  1 C 1.88
18 C 0.0000 0.5000 0.5000  6 Ni 1.88-1.95
19 C 0.4434 0.5566 0.5000  1 C 1.36
20 C 0.5000 0.0000 0.5000  6 Ni 1.88-1.95
21 C 0.5566 0.4434 0.5000  1 C 1.36


# 2
ThBeGaPt2: optimized geometry, PBE.

a b c (Å): 6.3741 6.3741 6.3741
angles (deg): 143.27 143.27 52.92
Closest atoms and distances in Å follow each position.
Atoms (fractional coordinates):
1 Th 0.0000 0.0000 0.0000  8 Pt 3.15, 4 Be 3.49, 4 Ga 3.49
2 Be 0.7500 0.2500 0.5000  4 Pt 2.50
3 Ga 0.2500 0.7500 0.5000  4 Pt 2.50
4 Pt 0.3798 0.3798 0.0000  2 Be 2.50, 2 Ga 2.50, 1 Pt 2.74
5 Pt 0.6202 0.6202 0.0000  2 Be 2.50, 2 Ga 2.50, 1 Pt 2.74


# 3
Pm2Pr7Sc: optimized geometry, PBE.

a b c (Å): 15.0705 15.0705 3.4870
angles (deg): 90.00 90.00 153.91
Closest atoms and distances in Å follow each position.
Atoms (fractional coordinates):
1 Pm 0.2028 0.7972 0.0000  2 Pm 3.49, 8 Pr 3.58-3.84
2 Pm 0.7972 0.2028 0.0000  2 Pm 3.49, 8 Pr 3.58-3.84
3 Pr 0.0000 0.0000 0.0000  6 Pr 3.35-3.49
4 Pr 0.1648 0.3584 0.0000  5 Pr 3.24-3.56, 1 Pm 3.59
5 Pr 0.3093 0.6907 0.5000  6 Pr 3.49-3.64, 6 Pm 3.58-3.84
6 Pr 0.3584 0.1648 0.0000  5 Pr 3.24-3.56, 1 Pm 3.59
7 Pr 0.6416 0.8352 0.0000  5 Pr 3.24-3.56, 1 Pm 3.59
8 Pr 0.6907 0.3093 0.5000  6 Pr 3.49-3.64, 6 Pm 3.58-3.84
9 Pr 0.8352 0.6416 0.0000  5 Pr 3.24-3.56, 1 Pm 3.59
10 Sc 0.5000 0.5000 0.5000  2 Sc 3.49, 12 Pr 3.71-3.82


Looking at ΔH_f (0 K) for the records above, in order, we have -29.2; -80.4; 16.3 kJ/mol of atoms.
Looking at electronic total energy for the records above, in order, we have -6.538; -6.084; -4.760 eV per atom.